PmHfCu2 (PBE, optimized geometry); M_tot = 0.0 μB/f.u.; ΔE to the lowest computed polymorph = 0.00 eV per formula unit; energy of formation from the pure elements = -0.11 eV/atom
1.0
3.372 0.000 0.000
0.000 3.372 0.000
0.000 0.000 6.918
Pm Hf Cu
1 1 2
Direct
0.000 0.000 0.000
0.000 0.000 0.500
0.500 0.500 0.302
0.500 0.500 0.698